5
Lattice="4.7953 0.0000 0.0000 0.0000 4.7953 0.0000 0.0000 0.0000 5.1108" Properties=species:S:1:pos:R:3 comment="Zn2HgPRh PBE optimized geometry" crystal_system=tetragonal dos_ef_per_ev_cell=3.89 total_energy_ha_per_atom=-0.073 formation_energy_ev_per_atom=1.147 pbc="T T T"
Zn 0.0000 2.3976 0.0000
Zn 2.3976 0.0000 0.0000
Hg 0.0000 0.0000 0.0000
P 2.3976 2.3976 2.5554
Rh 0.0000 0.0000 2.5554